Material: PuCd4Ag2Au
Method: DFT, PBE
State: relaxed

abc: 4.8314 4.8314 26.4977
angles: 90.00 90.00 120.00
With the nearest neighbours (Å) after each atom.
Space group R-3m (No. 166, hexagonal axes)
Asymmetric unit:
1 Pu 0.0000 0.0000 0.0000 x3  8 Cd 3.21-3.45, 6 Ag 3.46
2 Cd 0.0000 0.0000 0.1304 x6  3 Au 2.95, 3 Ag 3.12
3 Cd 0.0000 0.0000 0.3934 x6  1 Au 2.82, 3 Ag 2.83
4 Ag 0.0000 0.0000 0.2558 x6  6 Cd 2.83-3.12
5 Au 0.0000 0.0000 0.5000 x3  8 Cd 2.82-2.95

**Energy of formation**: -13 meV/atom

---

Material: Rb2Cd4Ag3Au
Method: DFT, PBE
State: relaxed

abc: 5.0595 5.0595 11.0853
angles: 90.00 90.00 90.00
With the nearest neighbours (Å) after each atom.
Space group P-4m2 (No. 115)
Asymmetric unit:
1 Rb 0.0000 0.5000 0.2422 x2  2 Au 3.69, 6 Ag 3.69-3.87, 9 Cd 3.82-4.02
2 Cd 0.0000 0.0000 0.5000 x1  4 Ag 2.88
3 Cd 0.0000 0.5000 0.8797 x2  3 Ag 2.83-2.86, 2 Au 2.86
4 Cd 0.5000 0.5000 0.5000 x1  4 Ag 2.88
5 Ag 0.0000 0.0000 0.0000 x1  4 Cd 2.86
6 Ag 0.0000 0.5000 0.6242 x2  5 Cd 2.83-2.88
7 Au 0.5000 0.5000 0.0000 x1  4 Cd 2.86

**Energy of formation**: -53 meV/atom

---

Material: RbCdAgAu
Method: DFT, PBE
State: relaxed

abc: 8.4207 4.9103 6.8208
angles: 90.00 114.78 90.00
With the nearest neighbours (Å) after each atom.
Space group Cm (No. 8)
Asymmetric unit:
1 Rb 0.0000 0.0000 0.0000 x2  1 Ag 3.41, 1 Au 3.44
2 Cd 0.0015 0.5000 0.5056 x2  3 Au 2.82-2.84, 3 Ag 2.83-2.85
3 Ag 0.3162 0.5000 0.4491 x2  3 Cd 2.83-2.85, 3 Au 2.88-2.91
4 Au 0.1851 0.0000 0.5555 x2  3 Cd 2.82-2.84, 3 Ag 2.88-2.91

**Energy of formation**: -162 meV/atom

---

Material: RbCdAg2Au
Method: DFT, PBE
State: relaxed

abc: 5.3895 5.3895 5.3420
angles: 90.00 90.00 90.00
With the nearest neighbours (Å) after each atom.
Space group P4/mmm (No. 123)
Asymmetric unit:
1 Rb 0.0000 0.0000 0.0000 x1  8 Ag 3.79, 4 Cd 3.81
2 Cd 0.5000 0.5000 0.0000 x1  2 Au 2.67
3 Ag 0.0000 0.5000 0.5000 x2  2 Au 2.69
4 Au 0.5000 0.5000 0.5000 x1  2 Cd 2.67, 4 Ag 2.69

**Energy of formation**: 63 meV/atom

---

no.,calculated volume (Å³ per cell)
1,535.6
2,283.8
3,256.1
4,155.2